Entry 1:
Density functional theory data (PBE-GGA) for crystalline KPtCl2 at its relaxed geometry.

Values from the calculation:
Its excess energy over the best structure of this formula in the dataset is 108 meV per atom. The calculation puts the density of states at the Fermi level at 0.6 states/eV per cell. The calculation puts the volume at 105.6 Å³/cell. The size of the total moment is 0.241 μB per atom. The uncorrected formation energy is -0.6929 eV/atom.

a b c (Å): 3.803 4.290 6.536
angles (deg): 82.06 90.00 90.00
Site moments in Bohr magnetons follow the coordinates.
Fractional positions:
Cl: 0.000 0.806 0.985  0.10
Cl: 0.000 0.694 0.515  0.10
K: 0.500 0.250 0.250  0.00
Pt: 0.500 0.750 0.750  0.64

Entry 2:
Density functional theory data (PBE-GGA) for crystalline CsAsRu at its relaxed geometry.

Values from the calculation:
As for the formation energy: -0.351 eV/f.u. The calculation puts the density of states at the Fermi level at 5.4 states/eV per cell. The calculation puts the volume at 223.2 Å³/cell. The size of the total moment is 0.000 μB per atom.

a b c (Å): 4.826 3.972 13.230
angles (deg): 102.81 91.02 114.58
Fractional positions:
Ru: 0.204 0.621 0.555
Ru: 0.692 0.393 0.591
As: 0.265 0.075 0.450
As: 0.634 0.942 0.696
Cs: 0.100 0.811 0.875
Cs: 0.604 0.621 0.280

Entry 3:
Density functional theory data (PBE-GGA) for crystalline CaUSi2O8 at its relaxed geometry.

Values from the calculation:
The calculation puts the volume at 147.9 Å³/cell. The size of the total moment is 0.000 μB per atom. The uncorrected formation energy is -2.8847 eV/atom.

a b c (Å): 5.789 5.789 5.789
angles (deg): 106.35 106.35 115.91
Fractional positions:
O: 0.395 0.069 0.326
O: 0.472 0.662 0.810
O: 0.931 0.605 0.674
O: 0.742 0.069 0.674
O: 0.338 0.528 0.190
O: 0.931 0.258 0.326
O: 0.338 0.148 0.810
O: 0.852 0.662 0.190
Ca: 0.000 0.000 0.000
U: 0.250 0.750 0.500
Si: 0.500 0.500 0.000
Si: 0.750 0.250 0.500

Entry 4:
Density functional theory data (PBE-GGA) for crystalline VGe2Te at its relaxed geometry.

Values from the calculation:
The calculation puts the density of states at the Fermi level at 6.4 states/eV per cell. The calculation puts the volume at 223.9 Å³/cell. The size of the total moment is 0.441 μB per atom. The uncorrected formation energy is 0.5208 eV/atom.

a b c (Å): 5.988 5.988 7.545
angles (deg): 66.62 66.62 90.00
Site moments in Bohr magnetons follow the coordinates.
Fractional positions:
V: 0.500 0.500 0.000  1.59
V: 0.250 0.750 0.500  1.59
Ge: 0.375 0.423 0.750  -0.05
Ge: 0.577 0.125 0.250  -0.05
Ge: 0.173 0.625 0.250  -0.05
Ge: 0.875 0.827 0.750  -0.05
Te: 0.750 0.250 0.500  0.06
Te: 0.000 0.000 0.000  0.06